Record 1
Compound: ThSbSe
Source: the Alexandria database
Functional: PBE
Structure: optimized geometry

Calculated values
V: 26.96 A^3/atom
crystal system: tetragonal
formation energy without anion corrections: -1.234 eV per atom
polymorph energy (0 for the lowest one): 24 meV/atom
total energy: -6.2426 eV/atom

Cell and atoms, written as CIF:
```
data_ThSbSe
_chemical_formula_sum 'Th4 Sb4 Se4'
_symmetry_space_group_name_H-M 'I 4/m m m'
_symmetry_Int_Tables_number 139
_symmetry_space_group_name_Hall '-I 4 2'
_cell_length_a 4.3090
_cell_length_b 4.3090
_cell_length_c 17.4260
_cell_angle_alpha 90.00
_cell_angle_beta 90.00
_cell_angle_gamma 90.00
loop_
_atom_site_label
_atom_site_type_symbol
_atom_site_fract_x
_atom_site_fract_y
_atom_site_fract_z
Th1 Th 0.0000 0.0000 0.1424
Sb1 Sb 0.0000 0.5000 0.0000
Se1 Se 0.0000 0.0000 0.3150
```



Record 2
Compound: Th3SbSe2
Source: the Alexandria database
Functional: PBE
Structure: optimized geometry

Calculated values
V: 28.01 A^3/atom
crystal system: orthorhombic
formation energy without anion corrections: -1.124 eV per atom
polymorph energy (0 for the lowest one): 184 meV/atom
total energy: -6.6821 eV/atom

Cell and atoms, written as CIF:
```
data_Th3SbSe2
_chemical_formula_sum 'Th12 Sb4 Se8'
_symmetry_space_group_name_H-M 'C m c m'
_symmetry_Int_Tables_number 63
_symmetry_space_group_name_Hall '-C 2c 2'
_cell_length_a 4.8523
_cell_length_b 13.8792
_cell_length_c 9.9818
_cell_angle_alpha 90.00
_cell_angle_beta 90.00
_cell_angle_gamma 90.00
loop_
_atom_site_label
_atom_site_type_symbol
_atom_site_fract_x
_atom_site_fract_y
_atom_site_fract_z
Th1 Th 0.0000 0.1262 0.2500
Th2 Th 0.0000 0.3618 0.0402
Sb1 Sb 0.0000 0.2203 0.7500
Se1 Se 0.0000 0.0000 0.0000
Se2 Se 0.0000 0.4867 0.7500
```



Record 3
Compound: Th7SbSe5
Source: the Alexandria database
Functional: PBE
Structure: optimized geometry

Calculated values
V: 28.01 A^3/atom
crystal system: orthorhombic
formation energy without anion corrections: -1.280 eV per atom
total energy: -6.9329 eV/atom

Cell and atoms, written as CIF:
```
data_Th7SbSe5
_chemical_formula_sum 'Th28 Sb4 Se20'
_symmetry_space_group_name_H-M 'C m c m'
_symmetry_Int_Tables_number 63
_symmetry_space_group_name_Hall '-C 2c 2'
_cell_length_a 4.0865
_cell_length_b 14.2986
_cell_length_c 24.9273
_cell_angle_alpha 90.00
_cell_angle_beta 90.00
_cell_angle_gamma 90.00
loop_
_atom_site_label
_atom_site_type_symbol
_atom_site_fract_x
_atom_site_fract_y
_atom_site_fract_z
Th1 Th 0.0000 0.0115 0.2500
Th2 Th 0.0000 0.1410 0.5344
Th3 Th 0.0000 0.3159 0.1791
Th4 Th 0.0000 0.4028 0.6168
Sb1 Sb 0.0000 0.3147 0.7500
Se1 Se 0.0000 0.0480 0.6386
Se2 Se 0.0000 0.2247 0.0732
Se3 Se 0.0000 0.5000 0.0000
```



Record 4
Compound: ThSbSe
Source: the Alexandria database
Functional: PBE
Structure: optimized geometry

Calculated values
V: 26.88 A^3/atom
crystal system: tetragonal
formation energy without anion corrections: -0.963 eV per atom
polymorph energy (0 for the lowest one): 295 meV/atom
total energy: -5.9715 eV/atom

Cell and atoms, written as CIF:
```
data_ThSbSe
_chemical_formula_sum 'Th2 Sb2 Se2'
_symmetry_space_group_name_H-M 'I 4 m m'
_symmetry_Int_Tables_number 107
_symmetry_space_group_name_Hall 'I 4 -2'
_cell_length_a 3.9340
_cell_length_b 3.9340
_cell_length_c 10.4206
_cell_angle_alpha 90.00
_cell_angle_beta 90.00
_cell_angle_gamma 90.00
loop_
_atom_site_label
_atom_site_type_symbol
_atom_site_fract_x
_atom_site_fract_y
_atom_site_fract_z
Th1 Th 0.0000 0.0000 0.0000
Sb1 Sb 0.0000 0.0000 0.3218
Se1 Se 0.0000 0.0000 0.6281
```